# Tb3Tl3GeSe8

An optimized crystal structure of Tb3Tl3GeSe8 (GGA-PBE, the Alexandria database).

Computed properties:
Uncorrected formation energy in meV per atom: -1086
DOS at the Fermi energy in states/eV per atom: 0.2278

Cell lengths 14.279, 8.246, 9.131 Å; angles 90.00, 121.45, 90.00 degrees
Space group C2/m (No. 12)
Unique sites:
Tb 0.000 0.000 0.000 x2
Tb 0.250 0.250 0.000 x4
Tl 0.000 0.500 0.500 x2
Tl 0.250 0.250 0.500 x4
Ge 0.000 0.500 0.000 x2
Se 0.013 0.267 0.806 x8
Se 0.220 0.500 0.194 x4
Se 0.236 0.000 0.208 x4